Material: ReP3Ru
Method: DFT, GGA-PBE
State: relaxed

As for the relative energy among the computed polymorphs: 0.0 meV per atom.

It has space group Pm-3m (No. 221), with a = 4.559 Å, b = 4.559 Å, c = 4.559 Å, α = 90.00°, β = 90.00° and γ = 90.00°. The distinct sites, in fractional coordinates, are Re at (0.000, 0.000, 0.000), P at (0.000, 0.000, 0.500) and Ru at (0.500, 0.500, 0.500).


Material: Cs2RbGeBr5
Method: DFT, GGA-PBE
State: relaxed

The raw total energy is -3.120 eV/atom.

It has space group Cmc2_1 (No. 36), with a = 5.478 Å, b = 19.658 Å, c = 14.263 Å, α = 90.00°, β = 90.00° and γ = 90.00°. The distinct sites, in fractional coordinates, are Cs at (0.000, 0.106, 0.000), Cs at (0.000, 0.150, 0.640), Rb at (0.000, 0.201, 0.335), Ge at (0.000, 0.478, 0.746), Br at (0.000, 0.024, 0.278), Br at (0.000, 0.287, 0.985), Br at (0.000, 0.343, 0.686), Br at (0.000, 0.378, 0.316) and Br at (0.000, 0.481, 0.079).


Material: MgTa2W
Method: DFT, GGA-PBE
State: relaxed

The raw total energy is -9.433 eV/atom.

It has space group Cmmm (No. 65), with a = 3.255 Å, b = 4.637 Å, c = 9.625 Å, α = 90.00°, β = 90.00° and γ = 90.00°. The distinct sites, in fractional coordinates, are Mg at (0.000, 0.000, 0.000), Ta at (0.000, 0.500, 0.266) and W at (0.000, 0.000, 0.500).


Material: TmBe4Nb
Method: DFT, GGA-PBE
State: relaxed

The raw total energy is -4.873 eV/atom.

It has space group F-43m (No. 216), with a = 6.754 Å, b = 6.754 Å, c = 6.754 Å, α = 90.00°, β = 90.00° and γ = 90.00°. The distinct sites, in fractional coordinates, are Tm at (0.000, 0.000, 0.000), Be at (0.122, 0.122, 0.622) and Nb at (0.250, 0.250, 0.250).


Material: KCu2Pt2
Method: DFT, GGA-PBE
State: relaxed

As for the relative energy among the computed polymorphs: 2.9 meV per atom.

It has space group P4/mbm (No. 127), with a = 7.913 Å, b = 7.913 Å, c = 2.728 Å, α = 90.00°, β = 90.00° and γ = 90.00°. The distinct sites, in fractional coordinates, are K at (0.000, 0.000, 0.000), Cu at (0.166, 0.334, 0.500) and Pt at (0.127, 0.627, 0.000).


Material: K2AgIr
Method: DFT, GGA-PBE
State: relaxed

As for the relative energy among the computed polymorphs: 164.2 meV per atom.

It has space group Pmmm (No. 47), with a = 2.833 Å, b = 5.204 Å, c = 6.513 Å, α = 90.00°, β = 90.00° and γ = 90.00°. The distinct sites, in fractional coordinates, are K at (0.000, 0.000, 0.238), Ag at (0.500, 0.500, 0.500) and Ir at (0.500, 0.500, 0.000).


Material: Al3Sb5
Method: DFT, GGA-PBE
State: relaxed

As for the relative energy among the computed polymorphs: 131.5 meV per atom.

It has space group Cmmm (No. 65), with a = 7.267 Å, b = 10.486 Å, c = 5.010 Å, α = 90.00°, β = 90.00° and γ = 90.00°. The distinct sites, in fractional coordinates, are Al at (0.000, 0.000, 0.000), Al at (0.000, 0.249, 0.500), Sb at (0.000, 0.500, 0.000), Sb at (0.235, 0.000, 0.500) and Sb at (0.250, 0.250, 0.000).


Material: BaTaOs2
Method: DFT, GGA-PBE
State: relaxed

As for the relative energy among the computed polymorphs: 311.6 meV per atom.

It has space group Amm2 (No. 38), with a = 4.211 Å, b = 3.817 Å, c = 13.004 Å, α = 90.00°, β = 90.00° and γ = 90.00°. The distinct sites, in fractional coordinates, are Ba at (0.000, 0.000, 0.000), Ta at (0.500, 0.000, 0.276), Os at (0.000, 0.000, 0.744) and Os at (0.500, 0.000, 0.650).


The calculation returns the following total moment values, one per record and in order: 0.001; 0.000; 0.000; 0.145; 0.000; 0.095; 0.000; 0.001 μB per cell.